Entry 1:
An optimized crystal structure of LiPt2W, computed with PBE.

POSCAR file:
```
LiPt2W
1.0
9.073 0.016 0.009
8.637 2.779 0.009
8.637 1.363 2.421
Li Pt W
1 2 1
Direct
0.750 0.750 0.750
0.001 0.001 0.001
0.499 0.499 0.499
0.250 0.250 0.250
```

Values from the calculation:
energy: -6.9642 eV per atom
symmetry: R-3m

Entry 2:
An optimized crystal structure of TaGeTePt, computed with PBE.

POSCAR file:
```
TaGeTePt
1.0
-0.604 1.552 -2.981
2.003 -3.824 -2.397
-3.993 -1.960 -0.211
Ta Ge Te Pt
1 1 1 1
Direct
0.500 0.000 0.984
0.000 0.000 0.503
0.500 0.500 0.265
0.000 0.500 0.767
```

Values from the calculation:
energy: -6.5088 eV per atom
symmetry: Pmm2
formation energy (no corrections): -0.096 eV/atom

Entry 3:
An optimized crystal structure of BaBeAl2Re, computed with PBE.

POSCAR file:
```
BaBeAl2Re
1.0
5.313 0.000 0.000
0.000 4.604 0.000
0.000 0.000 5.313
Re Be Ba Al
1 1 1 2
Direct
0.500 0.500 0.500
0.000 0.500 0.000
0.000 0.000 0.000
0.000 0.000 0.500
0.500 0.000 0.000
```

Values from the calculation:
energy: -2.2698 eV per atom
symmetry: P4/mmm

Entry 4:
An optimized crystal structure of Pm12Er5Sc2, computed with PBE.

POSCAR file:
```
Pm12Er5Sc2
1.0
-5.436 4.101 2.881
-0.107 -9.501 3.833
4.020 -0.996 9.003
Pm Er Sc
12 5 2
Direct
0.998 0.997 0.201
0.086 0.678 0.848
0.591 0.678 0.848
0.074 0.671 0.497
0.597 0.671 0.497
0.507 0.014 0.679
0.493 0.986 0.321
0.926 0.329 0.503
0.403 0.329 0.503
0.914 0.322 0.152
0.409 0.322 0.152
0.002 0.003 0.799
0.174 0.347 0.828
0.324 0.649 0.189
0.000 0.000 0.500
0.676 0.351 0.811
0.826 0.653 0.172
0.695 0.000 0.000
0.305 0.000 0.000
```

Values from the calculation:
energy: -4.7049 eV per atom
symmetry: C2/m

Entry 5:
An optimized crystal structure of AlTc3Ru, computed with PBE.

POSCAR file:
```
AlTc3Ru
1.0
4.624 0.000 0.000
0.000 4.624 0.000
0.000 0.000 4.624
Ru Tc Al
1 3 1
Direct
0.000 0.000 0.000
0.000 0.500 0.000
0.000 0.000 0.500
0.500 0.000 0.000
0.500 0.500 0.500
```

Values from the calculation:
energy: -7.2077 eV per atom
symmetry: Pm-3m

Entry 6:
An optimized crystal structure of SrPb3, computed with PBE.

POSCAR file:
```
SrPb3
1.0
5.018 0.000 0.000
0.000 5.023 0.000
0.000 0.000 5.084
Pb Sr
3 1
Direct
0.000 0.000 0.906
0.500 0.000 0.451
0.500 0.500 0.907
0.000 0.500 0.403
```

Values from the calculation:
energy: -3.5564 eV per atom
symmetry: P4mm

Entry 7:
An optimized crystal structure of CsPaP2O8, computed with PBE.

POSCAR file:
```
CsPaP2O8
1.0
5.484 0.000 0.000
-2.742 4.750 0.000
0.000 0.000 9.131
Cs Pa P O
1 1 2 8
Direct
0.000 0.000 0.000
0.000 0.000 0.500
0.667 0.333 0.291
0.333 0.667 0.709
0.333 0.667 0.872
0.366 0.224 0.359
0.776 0.141 0.359
0.667 0.333 0.128
0.224 0.859 0.641
0.634 0.776 0.641
0.141 0.366 0.641
0.859 0.634 0.359
```

Values from the calculation:
energy: -7.7773 eV per atom
symmetry: P-3
formation energy (no corrections): -2.708 eV/atom

Entry 8:
An optimized crystal structure of ErCuPdO4, computed with PBE.

POSCAR file:
```
ErCuPdO4
1.0
6.275 0.000 0.000
-3.138 5.392 -0.604
0.000 -3.447 5.669
Er Cu Pd O
2 2 2 8
Direct
0.500 0.000 0.500
0.500 0.000 0.000
0.880 0.761 0.130
0.120 0.239 0.870
0.500 0.500 0.500
0.000 0.500 0.500
0.763 0.526 0.732
0.271 0.011 0.256
0.740 0.011 0.256
0.763 0.526 0.295
0.237 0.474 0.705
0.729 0.989 0.744
0.260 0.989 0.744
0.237 0.474 0.268
```

Values from the calculation:
energy: -6.2897 eV per atom
symmetry: Imma
formation energy (no corrections): -1.478 eV/atom

Entry 9:
An optimized crystal structure of CeGdCuOs, computed with PBE.

POSCAR file:
```
CeGdCuOs
1.0
4.915 0.000 0.000
2.457 4.256 0.000
2.457 1.419 4.013
Gd Os Cu Ce
1 1 1 1
Direct
0.500 0.500 0.500
0.750 0.750 0.750
0.250 0.250 0.250
0.000 0.000 0.000
```

Values from the calculation:
energy: -8.9893 eV per atom
symmetry: F-43m

Entry 10:
An optimized crystal structure of Tb3NdSm4, computed with PBE.

POSCAR file:
```
Tb3NdSm4
1.0
7.225 0.000 0.000
0.000 7.220 0.000
0.000 0.000 10.193
Nd Tb Sm
2 6 8
Direct
0.500 0.811 0.000
0.500 0.311 0.500
0.000 0.311 0.000
0.248 0.061 0.750
0.752 0.561 0.750
0.000 0.811 0.500
0.752 0.561 0.250
0.248 0.061 0.250
0.000 0.811 0.000
0.500 0.310 0.000
0.752 0.061 0.750
0.248 0.561 0.750
0.500 0.810 0.500
0.000 0.311 0.500
0.248 0.561 0.250
0.752 0.061 0.250
```

Values from the calculation:
energy: -4.6774 eV per atom
symmetry: Pmna

Entry 11:
An optimized crystal structure of RbGe2Ru, computed with PBE.

POSCAR file:
```
RbGe2Ru
1.0
-1.679 1.962 3.341
-0.973 -2.200 3.471
5.171 1.023 4.666
Ru Ge Rb
1 2 1
Direct
0.000 0.000 0.000
0.300 0.300 0.101
0.700 0.700 0.899
0.500 0.500 0.500
```

Values from the calculation:
energy: -4.9099 eV per atom
symmetry: R-3m

Entry 12:
An optimized crystal structure of LiPm3Th3S8, computed with PBE.

POSCAR file:
```
LiPm3Th3S8
1.0
-6.313 -3.928 2.992
7.104 -0.432 3.686
-4.183 6.836 0.149
Li Pm Th S
1 3 3 8
Direct
0.000 0.000 0.500
0.000 0.000 0.000
0.000 0.500 0.000
0.500 0.500 0.000
0.500 0.000 0.500
0.500 0.500 0.500
0.000 0.500 0.500
0.249 0.498 0.247
0.751 0.502 0.753
0.757 0.515 0.259
0.243 0.485 0.741
0.757 0.001 0.259
0.243 0.999 0.741
0.244 0.001 0.259
0.756 0.999 0.741
```

Values from the calculation:
energy: -6.6668 eV per atom
symmetry: R-3m
formation energy (no corrections): -1.904 eV/atom

Entry 13:
An optimized crystal structure of HoPaCu10, computed with PBE.

POSCAR file:
```
HoPaCu10
1.0
4.103 0.000 0.000
0.000 5.040 0.000
0.000 0.000 8.657
Ho Pa Cu
1 1 10
Direct
0.000 0.000 0.000
0.000 0.500 0.500
0.000 0.000 0.333
0.000 0.500 0.834
0.000 0.500 0.166
0.000 0.000 0.667
0.500 0.000 0.500
0.500 0.500 0.000
0.500 0.252 0.252
0.500 0.748 0.748
0.500 0.748 0.252
0.500 0.252 0.748
```

Values from the calculation:
energy: -4.6777 eV per atom
symmetry: Pmmm

Entry 14:
An optimized crystal structure of Li4InAg, computed with PBE.

POSCAR file:
```
Li4InAg
1.0
5.095 0.000 -0.064
0.000 7.130 0.000
-1.557 -3.565 6.186
Li In Ag
8 2 2
Direct
0.283 0.666 0.331
0.409 0.062 0.740
0.000 0.184 0.000
0.591 0.322 0.260
0.717 0.334 0.669
0.591 0.938 0.260
0.000 0.816 0.000
0.409 0.678 0.740
0.864 0.789 0.579
0.136 0.211 0.421
0.227 0.446 0.892
0.773 0.554 0.108
```

Values from the calculation:
energy: -2.3734 eV per atom
symmetry: C2/m

Entry 15:
An optimized crystal structure of Ho2Pd3Pt2, computed with PBE.

POSCAR file:
```
Ho2Pd3Pt2
1.0
3.714 0.000 -0.628
0.000 3.511 0.000
-0.161 0.000 10.344
Ho Pd Pt
2 3 2
Direct
0.142 0.000 0.284
0.858 0.000 0.716
0.434 0.500 0.867
0.566 0.500 0.133
0.000 0.000 0.000
0.296 0.500 0.592
0.704 0.500 0.408
```

Values from the calculation:
energy: -6.0524 eV per atom
symmetry: Cmmm

Entry 16:
An optimized crystal structure of TlHg2PtPb, computed with PBE.

POSCAR file:
```
TlHg2PtPb
1.0
5.333 0.000 0.000
0.000 5.333 0.000
0.000 0.000 5.371
Pb Tl Hg Pt
1 1 2 1
Direct
0.000 0.000 0.500
0.500 0.500 0.500
0.000 0.500 0.000
0.500 0.000 0.000
0.000 0.000 0.000
```

Values from the calculation:
energy: -2.5325 eV per atom
symmetry: P4/mmm

Entry 17:
An optimized crystal structure of NaH3Pb, computed with PBE.

POSCAR file:
```
NaH3Pb
1.0
-0.894 4.202 0.970
-4.210 -0.634 -1.130
-0.939 -1.157 4.145
Pb Na H
1 1 3
Direct
0.000 0.000 0.000
0.500 0.500 0.500
0.000 0.500 0.000
0.000 0.000 0.500
0.500 0.000 0.000
```

Values from the calculation:
energy: -2.7854 eV per atom
symmetry: Pm-3m

Entry 18:
An optimized crystal structure of Tb2PmSnN, computed with PBE.

POSCAR file:
```
Tb2PmSnN
1.0
4.968 0.000 0.000
0.000 4.829 0.000
0.000 0.000 4.829
Tb Pm Sn N
2 1 1 1
Direct
0.000 0.000 0.500
0.000 0.500 0.000
0.500 0.000 0.000
0.500 0.500 0.500
0.000 0.000 0.000
```

Values from the calculation:
energy: -6.2997 eV per atom
symmetry: P4/mmm
formation energy (no corrections): -1.032 eV/atom

Entry 19:
An optimized crystal structure of KLaH3, computed with PBE.

POSCAR file:
```
KLaH3
1.0
4.395 0.000 0.000
0.000 4.395 0.000
0.000 0.000 4.395
H K La
3 1 1
Direct
0.000 0.500 0.000
0.000 0.000 0.500
0.500 0.000 0.000
0.000 0.000 0.000
0.500 0.500 0.500
```

Values from the calculation:
energy: -2.9914 eV per atom
symmetry: Pm-3m

Entry 20:
An optimized crystal structure of YBi3Cl, computed with PBE.

POSCAR file:
```
YBi3Cl
1.0
5.466 0.000 0.000
0.000 5.466 0.000
0.000 0.000 5.466
Y Bi Cl
1 3 1
Direct
0.500 0.500 0.500
0.000 0.500 0.000
0.000 0.000 0.500
0.500 0.000 0.000
0.000 0.000 0.000
```

Values from the calculation:
energy: -3.8404 eV per atom
symmetry: Pm-3m
formation energy (no corrections): 0.150 eV/atom

Ordered magnetic moment results: 0.000; 0.000; 0.038; 0.000; 0.091; 0.000; 0.000; 0.000; 1.739; 0.000; 0.000; 0.000; 0.042; 0.000; 0.000; 0.000; 0.000; 0.000; 0.000; 0.000; unit μB per atom.